Pm3SmPu3S8, optimized geometry, DFT PBE-GGA; total energy = -124.0 eV for the cell shown; formation energy from raw total energies = -1.93 eV per atom
1.0
7.980 0.000 0.000
-3.990 6.911 -0.024
0.000 -4.585 6.558
Pm Sm Pu S
3 1 3 8
direct
0.000 0.000 0.000
0.000 0.500 0.000
0.500 0.500 0.000
0.000 0.000 0.500
0.500 0.000 0.500
0.500 0.500 0.500
0.000 0.500 0.500
0.253 0.506 0.258
0.747 0.494 0.742
0.751 0.501 0.254
0.249 0.499 0.746
0.751 0.004 0.254
0.249 0.996 0.746
0.253 0.004 0.254
0.747 0.996 0.746

PmSm2PuS4, optimized geometry, DFT PBE-GGA; total energy = -60.9 eV for the cell shown; formation energy from raw total energies = -1.98 eV per atom
1.0
-1.997 2.149 2.701
2.656 -3.916 5.079
4.210 5.389 -1.174
Pm Sm Pu S
1 2 1 4
direct
0.000 0.000 0.000
0.500 0.000 0.500
0.000 0.500 0.500
0.500 0.500 0.000
0.500 0.253 0.250
0.500 0.747 0.750
0.000 0.254 0.753
0.000 0.746 0.247

PmSmPu2S4, optimized geometry, DFT PBE-GGA; total energy = -70.0 eV for the cell shown; formation energy from raw total energies = -1.92 eV per atom
1.0
3.981 0.000 0.000
0.000 6.894 0.117
0.000 -2.408 6.494
Pm Sm Pu S
1 1 2 4
direct
0.500 0.500 0.000
0.000 0.000 0.000
0.500 0.000 0.500
0.000 0.500 0.500
0.500 0.251 0.256
0.500 0.749 0.744
0.000 0.247 0.743
0.000 0.753 0.257